# 1
# Sc2PPt

A relaxed structure of Sc2PPt (PBE, Alexandria via LeMat-Bulk).

- Energy of formation: -1.151 eV/atom
- DFT total energy: -86.1 eV/cell

Unit cell a=3.7497 b=3.7497 c=19.2424 alpha=90.00 beta=90.00 gamma=120.00
Space group R-3m (No. 166, hexagonal axes)
Inequivalent atoms, fractional coordinates:
Sc1 0.0000 0.0000 0.2451 (multiplicity 6)
P1 0.0000 0.0000 0.5000 (multiplicity 3)
Pt1 0.0000 0.0000 0.0000 (multiplicity 3)

# 2
# Sc2PPt

A relaxed structure of Sc2PPt (PBE, Alexandria via LeMat-Bulk).

- Energy of formation: -0.797 eV/atom
- DFT total energy: -109.2 eV/cell

Unit cell a=6.941 b=6.941 c=6.790 alpha=90.00 beta=90.00 gamma=90.00
Space group I-42d (No. 122)
Inequivalent atoms, fractional coordinates:
Sc1 0.241 0.750 0.125 (multiplicity 8)
P1 0.000 0.000 0.000 (multiplicity 4)
Pt1 0.000 0.000 0.500 (multiplicity 4)

# 3
# Sc2PPt2

A relaxed structure of Sc2PPt2 (PBE, Alexandria via LeMat-Bulk).

- Energy of formation: -0.824 eV/atom
- DFT total energy: -68.5 eV/cell

Unit cell a=3.704 b=3.704 c=14.141 alpha=90.00 beta=90.00 gamma=90.00
Space group I4/mmm (No. 139)
Inequivalent atoms, fractional coordinates:
Sc1 0.000 0.000 0.106 (multiplicity 4)
P1 0.000 0.000 0.500 (multiplicity 2)
Pt1 0.000 0.500 0.250 (multiplicity 4)

# 4
# Sc2PPt

A relaxed structure of Sc2PPt (PBE, Alexandria via LeMat-Bulk).

- Energy of formation: -1.115 eV/atom
- DFT total energy: -28.6 eV/cell

Unit cell a=3.267 b=3.325 c=6.544 alpha=90.00 beta=94.89 gamma=90.00
Space group P2/m (No. 10)
Inequivalent atoms, fractional coordinates:
Sc1 0.040 0.000 0.261 (multiplicity 2)
P1 0.500 0.500 0.500 (multiplicity 1)
Pt1 0.500 0.500 0.000 (multiplicity 1)

Calculated E above lowest polymorph (eV/atom), listed in the same order as above: 0.146 0.500 0.095 0.181